(1)
Density functional theory data (GGA-PBE) for an optimized crystal structure of PmPdF5.

Properties
**Symmetry**: C2/c, No. 15
**E_form (uncorrected)**: -2.699 eV/atom
**Total magnetic moment**: 0.2 Bohr magnetons per cell

```
PmPdF5
1.0
5.4400 -0.0505 -1.2242
-1.7193 4.9856 -1.8162
0.6675 0.2762 9.0586
F Pd Pm
10 2 2
Cartesian
2.7495 2.8143 1.7541
-0.5827 4.2410 5.2456
4.1310 0.9754 3.8691
-0.3482 3.7279 -0.5538
4.7208 1.4952 6.5585
2.7507 3.6394 6.5014
1.6228 1.5836 -0.4967
0.2429 4.2484 2.1348
4.9529 0.9822 0.7578
1.6242 2.4107 4.2501
3.2327 2.0319 5.3551
1.1408 3.1917 0.6490
4.9068 2.5867 2.3899
6.1000 0.2318 7.8275
```

---

(2)
Density functional theory data (GGA-PBE) for an optimized crystal structure of Pr2PdF.

Properties
**Symmetry**: R-3m, No. 166
**E_form (uncorrected)**: -1.039 eV/atom
**Total magnetic moment**: 0.0 Bohr magnetons per cell

```
Pr2PdF
1.0
-1.2707 2.6750 -1.5825
-0.7539 -0.1834 -3.2669
-9.3152 -2.0004 0.5363
Pr Pd F
2 1 1
Cartesian
-4.5127 1.6764 -4.2295
-6.8270 -1.1851 -0.0836
0.0000 0.0000 0.0000
-5.6699 0.2457 -2.1566
```

---

(3)
Density functional theory data (GGA-PBE) for an optimized crystal structure of Rb2PrPd3F12.

Properties
**Symmetry**: R-3m, No. 166
**E_form (uncorrected)**: -2.165 eV/atom
**Total magnetic moment**: 0.0 Bohr magnetons per cell

```
Rb2PrPd3F12
1.0
7.1207 -0.6673 -0.4733
2.9363 6.5213 -0.4733
2.9363 1.7092 6.3111
Pd Rb F Pr
3 2 12 1
Cartesian
1.4681 0.8546 3.1556
1.4681 3.2607 -0.2367
3.5603 -0.3337 -0.2367
8.0762 4.7010 3.3344
4.9170 2.8621 2.0301
7.7220 4.4948 -0.1959
3.1306 1.8223 3.8190
9.8627 5.7409 1.5454
3.1306 4.2067 0.4573
8.0483 1.4911 1.0576
7.7220 1.3011 4.3069
5.2040 0.6447 0.4573
5.2712 6.2620 1.0576
7.7893 6.9185 4.9072
9.8627 3.3564 4.9072
4.9449 6.0721 4.3069
5.2712 3.0683 5.5603
0.0000 0.0000 0.0000
```

---

(4)
Density functional theory data (GGA-PBE) for an optimized crystal structure of PdPt3F6.

Properties
**Symmetry**: P-1, No. 2
**Distance to the lowest polymorph of the same formula**: 0.123 eV per atom
**E_form (uncorrected)**: -0.729 eV/atom
**Total magnetic moment**: 0.8 Bohr magnetons per cell

```
PdPt3F6
1.0
5.3462 -0.0111 0.0122
-2.6454 -4.5836 -1.0247
-0.5615 -2.6292 -7.8748
F Pd Pt
6 1 3
Cartesian
1.3971 -3.4538 -2.1436
0.7423 -3.7700 -6.7438
-1.6344 -5.4583 -6.4522
3.9082 -2.2399 -5.1586
-1.7688 -4.9839 -3.7288
3.7738 -1.7655 -2.4352
0.0000 0.0000 0.0000
1.3504 -2.2973 -0.5063
-1.3227 -2.2918 -0.5123
-0.2808 -1.3146 -3.9374
```

---

(5)
Density functional theory data (GGA-PBE) for an optimized crystal structure of PdPtF5.

Properties
**Symmetry**: C2/c, No. 15
**E_form (uncorrected)**: -1.144 eV/atom
**Total magnetic moment**: 1.9 Bohr magnetons per cell

```
PdPtF5
1.0
2.6458 -4.4073 -4.6511
1.0356 -2.4164 6.4152
-7.2477 2.5885 -1.5207
F Pt Pd
10 2 2
Cartesian
1.7931 -5.4387 2.2724
-5.3594 1.2036 -2.0290
-3.9111 -0.4690 1.2665
-3.3868 -1.0846 -1.3298
-0.6072 -1.3673 4.2366
-0.5712 -1.4569 -2.1442
-0.1795 -3.1505 1.5733
-2.9951 -2.7783 2.3877
0.3448 -3.7662 -1.0231
-2.9591 -2.8678 -3.9932
-4.5547 0.2840 -0.4322
0.9884 -4.5192 0.6756
-2.3009 -0.9094 -3.0859
1.3229 -2.2037 -2.3255
```

---

(6)
Density functional theory data (GGA-PBE) for an optimized crystal structure of PdPtF3.

Properties
**Symmetry**: Pm-3m, No. 221
**Distance to the lowest polymorph of the same formula**: 0.186 eV per atom
**E_form (uncorrected)**: -0.206 eV/atom
**Total magnetic moment**: 1.0 Bohr magnetons per cell

```
PdPtF3
1.0
4.2177 0.0000 0.0000
0.0000 4.2177 0.0000
0.0000 0.0000 4.2177
Pd F Pt
1 3 1
Cartesian
0.0000 0.0000 0.0000
0.0000 2.1088 0.0000
2.1088 0.0000 0.0000
0.0000 0.0000 2.1088
2.1088 2.1088 2.1088
```

---

(7)
Density functional theory data (GGA-PBE) for an optimized crystal structure of Pd2PtF8.

Properties
**Symmetry**: C2/m, No. 12
**E_form (uncorrected)**: -1.113 eV/atom
**Total magnetic moment**: 0.1 Bohr magnetons per cell

```
Pd2PtF8
1.0
-2.7658 -2.5372 -3.7154
3.7745 -3.7977 -3.1987
-2.5152 -5.1690 2.4200
F Pd Pt
8 2 1
Cartesian
0.1029 -5.3843 -1.1989
-1.8723 -6.3361 0.9703
-4.0996 -6.1412 -1.4755
2.5930 -5.3626 -3.0186
0.3657 -5.1677 -5.4644
-0.0159 -8.0039 -1.9713
-1.6094 -6.1195 -3.2952
-1.4906 -3.4999 -2.5228
-0.1783 -3.3209 -1.0100
-1.3283 -8.1830 -3.4840
0.0000 0.0000 0.0000
```

---

(8)
Density functional theory data (GGA-PBE) for an optimized crystal structure of PdPtF6.

Properties
**Symmetry**: P2_1/c, No. 14
**Distance to the lowest polymorph of the same formula**: 0.005 eV per atom
**E_form (uncorrected)**: -1.272 eV/atom
**Total magnetic moment**: 3.9 Bohr magnetons per cell

```
PdPtF6
1.0
5.2498 0.0000 -0.0224
0.0000 5.6401 0.0000
-0.0452 0.0000 7.7605
F Pt Pd
12 2 2
Cartesian
1.8109 1.7271 0.5159
0.7914 4.5472 3.3532
4.2284 0.9544 7.2026
3.5785 3.7744 4.4045
4.5015 2.5889 2.0251
1.8540 0.2312 5.9165
3.3506 5.4089 1.8215
4.4132 1.0930 4.3849
0.9762 4.6858 0.5355
1.6261 1.8657 3.3336
3.3937 3.9131 7.2222
0.7031 3.0513 5.7130
-0.0226 2.8201 3.8802
2.6249 0.0000 -0.0112
0.0000 2.8201 0.0000
2.6023 0.0000 3.8690
```